No. 1
Here is Tl2AuS2 after structural relaxation from the Alexandria database. Energies are from PBE.

Total energy (eV per atom): -3.44
Energy relative to the elements, uncorrected (eV per atom): -0.185
M_tot (μB per atom): 0.00

a b c (Å): 7.4868 9.7667 4.0049
angles (deg): 90.00 90.00 90.00
Fractional coordinates of all 10 atoms:
Tl 0.0774 0.1527 0.0000
Tl 0.4226 0.6527 0.0000
Tl 0.5774 0.3473 0.0000
Tl 0.9226 0.8473 0.0000
Au 0.0000 0.5000 0.5000
Au 0.5000 0.0000 0.5000
S 0.1508 0.7057 0.5000
S 0.3492 0.2057 0.5000
S 0.6508 0.7943 0.5000
S 0.8492 0.2943 0.5000

=====

No. 2
Here is ZrTi2Ni6 after structural relaxation from the Alexandria database. Energies are from PBE.

Formation energy (eV per atom): -0.155
Total energy (eV per atom): -6.71
M_tot (μB per atom): 0.00

a b c (Å): 5.0257 5.0257 5.7481
angles (deg): 90.00 90.00 120.00
Fractional coordinates of all 9 atoms:
Zr 0.0000 0.0000 0.0000
Ti 0.3333 0.6667 0.2007
Ti 0.6667 0.3333 0.7993
Ni 0.1762 0.3525 0.6630
Ni 0.1762 0.8238 0.6630
Ni 0.3525 0.1762 0.3370
Ni 0.6475 0.8238 0.6630
Ni 0.8238 0.1762 0.3370
Ni 0.8238 0.6475 0.3370

=====

No. 3
Here is PrDy4Er3 after structural relaxation from the Alexandria database. Energies are from PBE.

Formation energy (eV per atom): 0.231
Total energy (eV per atom): -4.38
M_tot (μB per atom): 0.00

a b c (Å): 5.6468 26.0206 3.5503
angles (deg): 90.00 90.00 90.00
Fractional coordinates of all 16 atoms:
Pr 0.0000 0.0000 0.0000
Pr 0.5000 0.5000 0.0000
Dy 0.0000 0.1056 0.5000
Dy 0.0000 0.2244 0.5000
Dy 0.0000 0.7756 0.5000
Dy 0.0000 0.8944 0.5000
Dy 0.5000 0.2756 0.5000
Dy 0.5000 0.3944 0.5000
Dy 0.5000 0.6056 0.5000
Dy 0.5000 0.7244 0.5000
Er 0.0000 0.3440 0.0000
Er 0.0000 0.5000 0.5000
Er 0.0000 0.6560 0.0000
Er 0.5000 0.0000 0.5000
Er 0.5000 0.1560 0.0000
Er 0.5000 0.8440 0.0000

=====

No. 4
Here is TlTc2Te after structural relaxation from the Alexandria database. Energies are from PBE.

Total energy (eV per atom): -5.72
Energy relative to the elements, uncorrected (eV per atom): 0.839
M_tot (μB per atom): 0.00

a b c (Å): 3.2345 5.4791 8.7841
angles (deg): 90.00 90.00 90.00
Fractional coordinates of all 8 atoms:
Tl 0.0000 0.0000 0.0000
Tl 0.5000 0.5000 0.0000
Tc 0.0000 0.5000 0.2675
Tc 0.0000 0.5000 0.7325
Tc 0.5000 0.0000 0.2675
Tc 0.5000 0.0000 0.7325
Te 0.0000 0.0000 0.5000
Te 0.5000 0.5000 0.5000

=====

No. 5
Here is La3PmGe2 after structural relaxation from the Alexandria database. Energies are from PBE.

Formation energy (eV per atom): -0.614
Total energy (eV per atom): -5.41
M_tot (μB per atom): 0.05

a b c (Å): 4.5647 4.6723 16.8844
angles (deg): 90.00 90.00 90.00
Fractional coordinates of all 12 atoms:
La 0.0000 0.0000 0.0000
La 0.0000 0.5000 0.3176
La 0.0000 0.5000 0.6824
La 0.5000 0.0000 0.1824
La 0.5000 0.0000 0.8176
La 0.5000 0.5000 0.5000
Pm 0.0000 0.0000 0.5000
Pm 0.5000 0.5000 0.0000
Ge 0.0000 0.5000 0.1328
Ge 0.0000 0.5000 0.8672
Ge 0.5000 0.0000 0.3672
Ge 0.5000 0.0000 0.6328